Entry 1:
YHo2Tm2: optimized geometry, GGA-PBE.

## Properties
Total energy   -0.1796 hartree per atom
Space-group type   P-1
ΔE to the lowest computed polymorph   0.00 kJ/mol of atoms
Formation enthalpy at 0 K   0.026 eV/atom

a = 4.9774 Å, b = 6.0919 Å, c = 11.1305 Å
α = 89.97°, β = 90.06°, γ = 114.11°
Positions (direct):
Tm: 0.8505 0.7009 0.9499
Ho: 0.5499 0.0998 0.8509
Tm: 0.1495 0.2991 0.0501
Ho: 0.4501 0.9002 0.1491
Ho: 0.3509 0.7017 0.4498
Tm: 0.9497 0.8995 0.6495
Tm: 0.0503 0.1005 0.3505
Ho: 0.6491 0.2983 0.5502
Y: 0.7500 0.4999 0.2497
Y: 0.2500 0.5001 0.7503

=====

Entry 2:
Na2ZnGe2: optimized geometry, GGA-PBE.

## Properties
Total energy   -0.0984 hartree per atom
Space-group type   P4/mbm
ΔE to the lowest computed polymorph   3.32 kJ/mol of atoms
Formation enthalpy at 0 K   -0.048 eV/atom

a = 6.6864 Å, b = 6.6864 Å, c = 4.8835 Å
α = 90.00°, β = 90.00°, γ = 90.00°
Positions (direct):
Ge: 0.8660 0.6340 0.0000
Zn: 0.0000 0.0000 0.0000
Zn: 0.5000 0.5000 0.0000
Na: 0.6718 0.8282 0.5000
Na: 0.1718 0.6718 0.5000
Ge: 0.6340 0.1340 0.0000
Ge: 0.3660 0.8660 0.0000
Ge: 0.1340 0.3660 0.0000
Na: 0.3282 0.1718 0.5000
Na: 0.8282 0.3282 0.5000

=====

Entry 3:
Nb2AsRh: optimized geometry, GGA-PBE.

## Properties
Total energy   -0.2982 hartree per atom
Space-group type   I-42d
Formation enthalpy at 0 K   -0.079 eV/atom

a = 7.0939 Å, b = 7.0939 Å, c = 5.7495 Å
α = 51.91°, β = 51.91°, γ = 90.00°
Positions (direct):
Rh: 0.7500 0.2500 0.5000
As: 0.5000 0.5000 0.0000
Nb: 0.3750 0.3781 0.7500
Rh: 0.0000 0.0000 0.0000
Nb: 0.8750 0.8719 0.7500
Nb: 0.1281 0.6250 0.2500
Nb: 0.6219 0.1250 0.2500
As: 0.2500 0.7500 0.5000

=====

Entry 4:
Be2CuRu: optimized geometry, GGA-PBE.

## Properties
Total energy   -0.1927 hartree per atom
Space-group type   P4mm
ΔE to the lowest computed polymorph   25.75 kJ/mol of atoms
Formation enthalpy at 0 K   -0.038 eV/atom

a = 2.7782 Å, b = 2.7737 Å, c = 5.4515 Å
α = 90.00°, β = 90.00°, γ = 90.00°
Positions (direct):
Be: 0.5000 0.5000 0.2324
Ru: 0.5000 0.5000 0.7857
Be: 0.0000 0.0000 0.0203
Cu: 0.0000 0.0000 0.4616

=====

> Which of these has the highest formation enthalpy at 0 K?

YHo2Tm2

=====

> What is the formation enthalpy at 0 K in the first record?

0.026 eV/atom

=====

> Look up the formation enthalpy at 0 K of the first one.

0.026 eV/atom

=====

> Which value of formation enthalpy at 0 K does entry 4 give?

-0.038 eV/atom